(1)
VASP calculation (PBE) on RbDy2Fe after structural relaxation. Values from VASP.

Cell and atoms, written as Quantum ESPRESSO input:
```
&SYSTEM
  ibrav = 0, nat = 4, ntyp = 3
/
ATOMIC_SPECIES
Rb 85.47 Rb.upf
Dy 162.50 Dy.upf
Fe 55.84 Fe.upf
ATOMIC_POSITIONS crystal
Rb 0.000 0.000 0.000
Dy 0.123 0.123 0.123
Dy 0.877 0.877 0.877
Fe 0.500 0.500 0.500
CELL_PARAMETERS angstrom
1.955 1.129 10.999
-1.955 1.129 10.999
0.000 -2.257 10.999
```

Results
As for the total energy: -4.321 eV/atom. The formation energy comes out at 0.337 eV/atom. The crystal system is trigonal.

(2)
VASP calculation (PBE) on YFeTe2 after structural relaxation. Values from VASP.

Cell and atoms, written as Quantum ESPRESSO input:
```
&SYSTEM
  ibrav = 0, nat = 4, ntyp = 3
/
ATOMIC_SPECIES
Y 88.91 Y.upf
Fe 55.84 Fe.upf
Te 127.60 Te.upf
ATOMIC_POSITIONS crystal
Y 0.000 0.000 0.000
Fe 0.500 0.500 0.500
Te 0.242 0.242 0.717
Te 0.758 0.758 0.283
CELL_PARAMETERS angstrom
3.717 -2.103 0.000
3.717 2.103 0.000
-2.339 0.000 6.590
```

Results
As for the total energy: -5.825 eV/atom. The crystal system is monoclinic.

(3)
VASP calculation (PBE) on LiSm2Pa after structural relaxation. Values from VASP.

Cell and atoms, written as Quantum ESPRESSO input:
```
&SYSTEM
  ibrav = 0, nat = 4, ntyp = 3
/
ATOMIC_SPECIES
Li 6.94 Li.upf
Sm 150.36 Sm.upf
Pa 231.04 Pa.upf
ATOMIC_POSITIONS crystal
Li 0.000 0.000 0.000
Sm 0.412 0.412 0.412
Sm 0.588 0.588 0.588
Pa 0.500 0.500 0.500
CELL_PARAMETERS angstrom
1.635 0.944 12.114
-1.635 0.944 12.114
0.000 -1.888 12.114
```

Results
As for the total energy: -4.852 eV/atom. The value obtained for the excess energy over the best structure of this formula in the dataset is 0.88 eV per formula unit. The formation energy comes out at 0.360 eV/atom. The crystal system is trigonal.

(4)
VASP calculation (PBE) on Ge2N2O after structural relaxation. Values from VASP.

Cell and atoms, written as Quantum ESPRESSO input:
```
&SYSTEM
  ibrav = 0, nat = 20, ntyp = 3
/
ATOMIC_SPECIES
Ge 72.64 Ge.upf
N 14.01 N.upf
O 16.00 O.upf
ATOMIC_POSITIONS crystal
Ge 0.000 0.000 0.000
Ge 0.001 0.505 0.500
Ge 0.502 0.387 0.252
Ge 0.517 0.898 0.754
Ge 0.672 0.648 0.004
Ge 0.681 0.152 0.504
Ge 0.865 0.247 0.748
Ge 0.904 0.745 0.245
N 0.252 0.487 0.159
N 0.388 0.892 0.936
N 0.393 0.397 0.436
N 0.629 0.150 0.687
N 0.795 0.807 0.428
N 0.807 0.303 0.927
N 0.827 0.561 0.680
N 0.832 0.068 0.181
O 0.224 0.973 0.686
O 0.650 0.645 0.185
O 0.952 0.734 0.938
O 0.971 0.225 0.438
CELL_PARAMETERS angstrom
5.476 0.000 0.000
2.577 5.011 0.000
2.704 -1.363 10.057
```

Results
As for the total energy: -6.605 eV/atom. The crystal system is triclinic.

(5)
VASP calculation (PBE) on CdH10C3NCl3 after structural relaxation. Values from VASP.

Cell and atoms, written as Quantum ESPRESSO input:
```
&SYSTEM
  ibrav = 0, nat = 72, ntyp = 5
/
ATOMIC_SPECIES
Cd 112.41 Cd.upf
H 1.01 H.upf
C 12.01 C.upf
N 14.01 N.upf
Cl 35.45 Cl.upf
ATOMIC_POSITIONS crystal
Cd 0.000 0.000 0.000
Cd 0.000 0.500 0.000
Cd 0.500 0.000 0.500
Cd 0.500 0.500 0.500
H 0.088 0.063 0.442
H 0.088 0.437 0.442
H 0.127 0.076 0.626
H 0.127 0.424 0.626
H 0.170 0.250 0.253
H 0.192 0.557 0.494
H 0.192 0.943 0.494
H 0.228 0.619 0.805
H 0.228 0.881 0.805
H 0.240 0.750 0.040
H 0.260 0.250 0.540
H 0.272 0.119 0.305
H 0.272 0.381 0.305
H 0.308 0.057 0.994
H 0.308 0.443 0.994
H 0.330 0.750 0.753
H 0.373 0.576 0.126
H 0.373 0.924 0.126
H 0.412 0.563 0.942
H 0.412 0.937 0.942
H 0.588 0.063 0.058
H 0.588 0.437 0.058
H 0.627 0.076 0.874
H 0.627 0.424 0.874
H 0.670 0.250 0.247
H 0.692 0.557 0.006
H 0.692 0.943 0.006
H 0.728 0.619 0.695
H 0.728 0.881 0.695
H 0.740 0.750 0.460
H 0.760 0.250 0.960
H 0.772 0.119 0.195
H 0.772 0.381 0.195
H 0.808 0.057 0.506
H 0.808 0.443 0.506
H 0.830 0.750 0.747
H 0.873 0.576 0.374
H 0.873 0.924 0.374
H 0.912 0.563 0.558
H 0.912 0.937 0.558
C 0.148 0.070 0.513
C 0.148 0.430 0.513
C 0.231 0.250 0.323
C 0.269 0.750 0.823
C 0.352 0.570 0.013
C 0.352 0.930 0.013
C 0.648 0.070 0.987
C 0.648 0.430 0.987
C 0.731 0.250 0.177
C 0.769 0.750 0.677
C 0.852 0.570 0.487
C 0.852 0.930 0.487
N 0.201 0.250 0.477
N 0.299 0.750 0.977
N 0.701 0.250 0.023
N 0.799 0.750 0.523
Cl 0.021 0.750 0.783
Cl 0.111 0.750 0.145
Cl 0.131 0.250 0.917
Cl 0.369 0.750 0.417
Cl 0.389 0.250 0.645
Cl 0.479 0.250 0.283
Cl 0.521 0.750 0.717
Cl 0.611 0.750 0.355
Cl 0.631 0.250 0.583
Cl 0.869 0.750 0.083
Cl 0.889 0.250 0.855
Cl 0.979 0.250 0.217
CELL_PARAMETERS angstrom
14.653 0.000 0.000
0.000 6.850 0.000
0.000 0.000 9.256
```

Results
As for the total energy: -4.663 eV/atom. The crystal system is orthorhombic.

(6)
VASP calculation (PBE) on La6P5Cl after structural relaxation. Values from VASP.

Cell and atoms, written as Quantum ESPRESSO input:
```
&SYSTEM
  ibrav = 0, nat = 12, ntyp = 3
/
ATOMIC_SPECIES
La 138.91 La.upf
P 30.97 P.upf
Cl 35.45 Cl.upf
ATOMIC_POSITIONS crystal
La 0.069 0.414 0.744
La 0.240 0.240 0.258
La 0.414 0.069 0.744
La 0.586 0.931 0.256
La 0.760 0.760 0.742
La 0.931 0.586 0.256
P 0.000 0.000 0.500
P 0.167 0.833 0.000
P 0.336 0.664 0.500
P 0.664 0.336 0.500
P 0.833 0.167 0.000
Cl 0.500 0.500 0.000
CELL_PARAMETERS angstrom
3.695 -6.394 0.000
3.695 6.394 0.000
-2.462 0.000 6.948
```

Results
As for the total energy: -6.553 eV/atom. The crystal system is monoclinic.